# PBE-GGA Mg2TaCuRe, optimized geometry
# Calculated total energy, eV per cell: -20.3
data_Mg2TaCuRe
_chemical_formula_sum 'Mg2 Ta1 Cu1 Re1'
_cell_length_a 5.190
_cell_length_b 5.190
_cell_length_c 4.587
_cell_angle_alpha 90.00
_cell_angle_beta 90.00
_cell_angle_gamma 90.00
_symmetry_space_group_name_H-M 'P 4/m m m'
_symmetry_Int_Tables_number 123
_symmetry_space_group_name_Hall '-P 4 2'
loop_
_atom_site_label
_atom_site_type_symbol
_atom_site_fract_x
_atom_site_fract_y
_atom_site_fract_z
Mg1 Mg 0.000 0.500 0.000
Ta1 Ta 0.000 0.000 0.000
Cu1 Cu 0.000 0.000 0.500
Re1 Re 0.500 0.500 0.500

# PBE-GGA K2YHgF6, optimized geometry
# Uncorrected formation energy, meV/atom: -2824
# Calculated total energy, eV per cell: -193.7
data_K2YHgF6
_chemical_formula_sum 'K8 Y4 Hg4 F24'
_cell_length_a 9.468
_cell_length_b 9.468
_cell_length_c 9.468
_cell_angle_alpha 90.00
_cell_angle_beta 90.00
_cell_angle_gamma 90.00
_symmetry_space_group_name_H-M 'F m -3 m'
_symmetry_Int_Tables_number 225
_symmetry_space_group_name_Hall '-F 4 2 3'
loop_
_atom_site_label
_atom_site_type_symbol
_atom_site_fract_x
_atom_site_fract_y
_atom_site_fract_z
K1 K 0.250 0.250 0.250
Y1 Y 0.000 0.000 0.000
Hg1 Hg 0.000 0.000 0.500
F1 F 0.000 0.000 0.230

# PBE-GGA LaDyNiAu, optimized geometry
# Calculated total energy, eV per cell: -82.5
data_LaDyNiAu
_chemical_formula_sum 'La4 Dy4 Ni4 Au4'
_cell_length_a 7.207
_cell_length_b 7.207
_cell_length_c 7.207
_cell_angle_alpha 90.00
_cell_angle_beta 90.00
_cell_angle_gamma 90.00
_symmetry_space_group_name_H-M 'F -4 3 m'
_symmetry_Int_Tables_number 216
_symmetry_space_group_name_Hall 'F -4 2 3'
loop_
_atom_site_label
_atom_site_type_symbol
_atom_site_fract_x
_atom_site_fract_y
_atom_site_fract_z
La1 La 0.000 0.000 0.000
Dy1 Dy 0.000 0.000 0.500
Ni1 Ni 0.250 0.250 0.250
Au1 Au 0.250 0.250 0.750

# PBE-GGA YOs2Cl, optimized geometry
# Uncorrected formation energy, meV/atom: 669
# Calculated total energy, eV per cell: -112.4
data_YOs2Cl
_chemical_formula_sum 'Y4 Os8 Cl4'
_cell_length_a 6.599
_cell_length_b 6.599
_cell_length_c 6.599
_cell_angle_alpha 90.00
_cell_angle_beta 90.00
_cell_angle_gamma 90.00
_symmetry_space_group_name_H-M 'F -4 3 m'
_symmetry_Int_Tables_number 216
_symmetry_space_group_name_Hall 'F -4 2 3'
loop_
_atom_site_label
_atom_site_type_symbol
_atom_site_fract_x
_atom_site_fract_y
_atom_site_fract_z
Y1 Y 0.000 0.000 0.000
Os1 Os 0.000 0.000 0.500
Os2 Os 0.250 0.250 0.750
Cl1 Cl 0.250 0.250 0.250